DFT (PBE+U) results for Mn2CrTeO after structural relaxation.

abc: 5.4629 5.4629 3.6848
angles: 90.00 90.00 90.00
Space group P4/mmm (No. 123)
Unique sites:
Mn 0.0000 0.5000 0.0000 x2
Cr 0.0000 0.0000 0.0000 x1
Te 0.5000 0.5000 0.5000 x1
O 0.0000 0.0000 0.5000 x1

Properties
crystal system	tetragonal
VASP energy	-5.948	eV/atom
total moment	13.54	μB/f.u.
volume	21.99	Å³/atom